(w)
VASP calculation (PBE-GGA) on a relaxed Ac2TlTe crystal.

Unit cell a=3.986 b=3.986 c=8.748 alpha=90.00 beta=90.00 gamma=90.00
Element x y z (fractional)
1 Ac 0.000 0.000 0.246
2 Ac 0.000 0.000 0.754
3 Tl 0.500 0.500 0.500
4 Te 0.500 0.500 0.000

M_tot (μB/atom): 0.00
N(E_F) (states/eV per cell): 3.73
V (A^3/atom): 34.7



(x)
VASP calculation (PBE-GGA) on a relaxed Ac2TlTe crystal.

Unit cell a=4.707 b=4.873 c=13.280 alpha=100.57 beta=90.00 gamma=90.00
Element x y z (fractional)
1 Tl 0.250 0.457 0.914
2 Tl 0.750 0.543 0.086
3 Ac 0.750 0.935 0.870
4 Ac 0.750 0.679 0.358
5 Ac 0.250 0.321 0.642
6 Ac 0.250 0.065 0.130
7 Te 0.250 0.193 0.386
8 Te 0.750 0.807 0.614

M_tot (μB/atom): 0.00
N(E_F) (states/eV per cell): 5.19
V (A^3/atom): 37.4



Tell me which of them is the least stable. Sure, it is (w).



(w)
VASP calculation (PBE-GGA) on a relaxed Ac4TmTe5 crystal.

Unit cell a=4.571 b=4.571 c=19.768 alpha=83.36 beta=83.36 gamma=60.00
Element x y z (fractional)
1 Te 0.806 0.806 0.582
2 Te 0.000 0.000 0.000
3 Te 0.403 0.403 0.791
4 Te 0.597 0.597 0.209
5 Te 0.194 0.194 0.418
6 Ac 0.104 0.104 0.688
7 Ac 0.896 0.896 0.312
8 Ac 0.702 0.702 0.895
9 Ac 0.298 0.298 0.105
10 Tm 0.500 0.500 0.500

M_tot (μB/atom): 0.00
N(E_F) (states/eV per cell): 6.10
V (A^3/atom): 35.4



(x)
VASP calculation (PBE-GGA) on a relaxed Ac4TmTe5 crystal.

Unit cell a=4.646 b=4.652 c=16.855 alpha=97.93 beta=97.92 gamma=90.00
Element x y z (fractional)
1 Te 0.500 0.500 0.000
2 Te 0.091 0.091 0.182
3 Te 0.909 0.909 0.818
4 Te 0.296 0.296 0.591
5 Te 0.704 0.704 0.409
6 Tm 0.000 0.000 0.000
7 Ac 0.602 0.602 0.204
8 Ac 0.192 0.192 0.385
9 Ac 0.808 0.808 0.615
10 Ac 0.398 0.398 0.796

M_tot (μB/atom): 0.00
N(E_F) (states/eV per cell): 6.14
V (A^3/atom): 35.7



Tell me which of them is the least stable. Sure, it is (x).



(w)
VASP calculation (PBE-GGA) on a relaxed AcTm2Te crystal.

Unit cell a=3.921 b=3.921 c=10.413 alpha=79.15 beta=79.15 gamma=60.00
Element x y z (fractional)
1 Tm 0.067 0.067 0.798
2 Tm 0.266 0.266 0.202
3 Ac 0.500 0.500 0.499
4 Te 0.667 0.667 0.000

M_tot (μB/atom): 0.00
N(E_F) (states/eV per cell): 5.28
V (A^3/atom): 33.8



(x)
VASP calculation (PBE-GGA) on a relaxed AcTm2Te crystal.

Unit cell a=3.844 b=3.844 c=11.400 alpha=80.29 beta=80.29 gamma=60.00
Element x y z (fractional)
1 Tm 0.894 0.894 0.319
2 Tm 0.106 0.106 0.681
3 Te 0.500 0.500 0.500
4 Ac 0.000 0.000 0.000

M_tot (μB/atom): 0.00
N(E_F) (states/eV per cell): 4.81
V (A^3/atom): 35.8



(y)
VASP calculation (PBE-GGA) on a relaxed AcTm2Te crystal.

Unit cell a=3.838 b=3.838 c=8.480 alpha=90.00 beta=90.00 gamma=90.00
Element x y z (fractional)
1 Tm 0.000 0.000 0.209
2 Tm 0.000 0.000 0.791
3 Ac 0.500 0.500 0.500
4 Te 0.500 0.500 0.000

M_tot (μB/atom): 0.00
N(E_F) (states/eV per cell): 5.14
V (A^3/atom): 31.2



Tell me which of them is the least stable. Sure, it is (x).



(w)
VASP calculation (PBE-GGA) on a relaxed Ac3TmTe6 crystal.

Unit cell a=9.417 b=9.417 c=9.417 alpha=98.76 beta=98.76 gamma=98.76
Element x y z (fractional)
1 Te 0.065 0.967 0.317
2 Te 0.571 0.439 0.811
3 Te 0.439 0.811 0.571
4 Te 0.317 0.065 0.967
5 Te 0.811 0.571 0.439
6 Te 0.935 0.033 0.683
7 Te 0.189 0.429 0.561
8 Te 0.967 0.317 0.065
9 Te 0.033 0.683 0.935
10 Te 0.429 0.561 0.189
11 Te 0.561 0.189 0.429
12 Te 0.683 0.935 0.033
13 Ac 0.371 0.712 0.883
14 Ac 0.883 0.371 0.712
15 Ac 0.117 0.629 0.288
16 Ac 0.629 0.288 0.117
17 Ac 0.288 0.117 0.629
18 Ac 0.712 0.883 0.371
19 Tm 0.500 0.500 0.500
20 Tm 0.000 0.000 0.000

M_tot (μB/atom): 0.00
V (A^3/atom): 40.1



(x)
VASP calculation (PBE-GGA) on a relaxed Ac3TmTe6 crystal.

Unit cell a=7.735 b=8.619 c=11.628 alpha=90.00 beta=92.60 gamma=90.00
Element x y z (fractional)
1 Te 0.656 0.188 0.571
2 Te 0.177 0.328 0.424
3 Te 0.653 0.452 0.265
4 Te 0.156 0.312 0.071
5 Te 0.677 0.172 0.924
6 Te 0.153 0.048 0.765
7 Te 0.847 0.952 0.235
8 Te 0.347 0.548 0.735
9 Te 0.323 0.828 0.076
10 Te 0.344 0.812 0.429
11 Te 0.844 0.688 0.929
12 Te 0.823 0.672 0.576
13 Ac 0.500 0.500 0.000
14 Ac 0.000 0.000 0.500
15 Ac 0.047 0.611 0.242
16 Ac 0.547 0.889 0.742
17 Ac 0.453 0.111 0.258
18 Ac 0.953 0.389 0.758
19 Tm 0.500 0.500 0.500
20 Tm 0.000 0.000 0.000

M_tot (μB/atom): 0.00
V (A^3/atom): 38.7



Tell me which of them is the least stable. Sure, it is (w).



(w)
VASP calculation (PBE-GGA) on a relaxed AcYTe crystal.

Unit cell a=4.021 b=4.021 c=6.983 alpha=106.73 beta=106.73 gamma=90.00
Element x y z (fractional)
1 Ac 0.002 0.002 0.004
2 Y 0.306 0.306 0.612
3 Te 0.692 0.692 0.384

M_tot (μB/atom): 0.09
N(E_F) (states/eV per cell): 4.16
V (A^3/atom): 34.4



(x)
VASP calculation (PBE-GGA) on a relaxed AcYTe crystal.

Unit cell a=4.233 b=5.348 c=5.348 alpha=120.00 beta=90.00 gamma=90.00
Element x y z (fractional)
1 Y 0.167 0.000 0.000
2 Te 0.166 0.333 0.667
3 Ac 0.667 0.667 0.333

M_tot (μB/atom): 0.00
N(E_F) (states/eV per cell): 4.51
V (A^3/atom): 34.9



Tell me which of them is the least stable. Sure, it is (x).



(w)
VASP calculation (PBE-GGA) on a relaxed Ac2YTe4 crystal.

Unit cell a=4.402 b=7.744 c=8.605 alpha=69.71 beta=75.18 gamma=73.49
Element x y z (fractional)
1 Y 0.000 0.000 0.000
2 Ac 0.643 0.414 0.300
3 Ac 0.357 0.586 0.700
4 Te 0.060 0.249 0.630
5 Te 0.336 0.249 0.079
6 Te 0.664 0.751 0.921
7 Te 0.940 0.751 0.370

M_tot (μB/atom): 0.00
N(E_F) (states/eV per cell): 1.29
V (A^3/atom): 37.1



(x)
VASP calculation (PBE-GGA) on a relaxed Ac2YTe4 crystal.

Unit cell a=4.404 b=8.128 c=15.619 alpha=90.00 beta=90.00 gamma=105.72
Element x y z (fractional)
1 Te 0.214 0.429 0.872
2 Te 0.988 0.976 0.750
3 Te 0.214 0.429 0.628
4 Te 0.012 0.024 0.250
5 Te 0.786 0.571 0.128
6 Te 0.500 0.000 0.000
7 Te 0.786 0.571 0.372
8 Te 0.500 0.000 0.500
9 Ac 0.132 0.264 0.424
10 Ac 0.868 0.736 0.576
11 Ac 0.132 0.264 0.076
12 Ac 0.868 0.736 0.924
13 Y 0.370 0.739 0.250
14 Y 0.630 0.261 0.750

M_tot (μB/atom): 0.00
N(E_F) (states/eV per cell): 5.31
V (A^3/atom): 38.4



Tell me which of them is the least stable. Sure, it is (x).